A relaxed structure of SbP2Pd2, computed with PBE.

Output
Energy relative to the elements, uncorrected ... -42 meV per atom
Space-group type ... No. 139
D(E_F) ... 2.65 states/eV/f.u.
M_tot ... 0.00 μB per cell
ρ ... 7.39 Mg/m³
DFT total energy ... -5.108 eV/atom

Geometry as POSCAR:
```
SbP2Pd2
1.0
-1.924 1.924 6.013
1.924 -1.924 6.013
1.924 1.924 -6.013
Sb P Pd
1 2 2
Cartesian
0.000 0.000 0.000
1.924 0.000 3.006
0.000 1.924 3.006
0.000 0.000 4.617
0.000 0.000 7.408
```



A relaxed structure of SbPPd, computed with PBE.

Output
Energy relative to the elements, uncorrected ... -52 meV per atom
Space-group type ... No. 11
D(E_F) ... 1.41 states/eV/f.u.
M_tot ... 0.00 μB per cell
ρ ... 5.80 Mg/m³
DFT total energy ... -4.961 eV/atom

Geometry as POSCAR:
```
SbPPd
1.0
7.009 0.000 0.000
0.000 3.309 0.000
-3.109 0.000 6.394
Sb P Pd
2 2 2
Cartesian
-0.625 0.827 2.081
4.524 2.482 4.313
1.545 0.827 3.834
2.355 2.482 2.560
0.986 2.482 0.652
2.914 0.827 5.742
```



A relaxed structure of SbP2Pd8, computed with PBE.

Output
Energy relative to the elements, uncorrected ... -457 meV per atom
Space-group type ... No. 12
Energy above the lowest structure with this stoichiometry ... 0.000 eV/atom
D(E_F) ... 5.18 states/eV/f.u.
M_tot ... 0.00 μB per cell
ρ ... 9.93 Mg/m³
DFT total energy ... -5.592 eV/atom

Geometry as POSCAR:
```
SbP2Pd8
1.0
3.705 -5.441 0.000
3.705 5.441 0.000
-1.138 0.000 4.292
Sb P Pd
1 2 8
Cartesian
0.000 0.000 0.000
3.136 1.937 2.146
3.136 -1.937 2.146
0.782 1.435 2.549
3.705 2.750 0.000
0.782 -1.435 2.549
2.613 0.000 0.814
3.659 0.000 3.477
5.490 1.435 1.742
3.705 -2.750 0.000
5.490 -1.435 1.742
```



A relaxed structure of SmSb2P2Pd7, computed with PBE.

Output
Energy relative to the elements, uncorrected ... -522 meV per atom
Space-group type ... No. 12
D(E_F) ... 6.00 states/eV/f.u.
M_tot ... 0.00 μB per cell
ρ ... 8.66 Mg/m³
DFT total energy ... -5.533 eV/atom

Geometry as POSCAR:
```
SmSb2P2Pd7
1.0
2.943 -3.442 0.000
2.943 3.442 0.000
-0.619 0.000 11.362
Sm Sb P Pd
1 2 2 7
Cartesian
0.000 0.000 0.000
0.635 0.000 4.378
4.631 0.000 6.985
1.356 0.000 9.243
3.911 0.000 2.119
2.019 1.407 2.498
1.685 0.000 6.835
3.247 1.407 8.864
2.943 0.000 0.000
2.019 -1.407 2.498
3.582 0.000 4.527
3.247 -1.407 8.864
```



A relaxed structure of Sr2Sb3PPd4, computed with PBE.

Output
Energy relative to the elements, uncorrected ... -746 meV per atom
Space-group type ... No. 115
D(E_F) ... 4.60 states/eV/f.u.
M_tot ... 0.00 μB per cell
ρ ... 7.32 Mg/m³
DFT total energy ... -4.937 eV/atom

Geometry as POSCAR:
```
Sr2Sb3PPd4
1.0
4.636 0.000 0.000
0.000 4.636 0.000
0.000 0.000 10.529
Sr Sb P Pd
2 3 1 4
Cartesian
0.000 2.318 2.583
2.318 0.000 7.945
0.000 0.000 0.000
0.000 2.318 6.665
2.318 0.000 3.863
2.318 2.318 0.000
0.000 0.000 5.264
0.000 2.318 9.327
2.318 0.000 1.202
2.318 2.318 5.264
```



A relaxed structure of Sr2SbPPd6, computed with PBE.

Output
Energy relative to the elements, uncorrected ... -713 meV per atom
Space-group type ... No. 59
D(E_F) ... 2.94 states/eV/f.u.
M_tot ... 0.00 μB per cell
ρ ... 7.52 Mg/m³
DFT total energy ... -5.118 eV/atom

Geometry as POSCAR:
```
Sr2SbPPd6
1.0
5.783 0.000 0.000
0.000 8.955 0.000
0.000 0.000 8.239
Sr Sb P Pd
4 2 2 12
Cartesian
1.446 0.102 1.866
1.446 4.375 1.866
4.338 4.579 6.372
4.338 8.853 6.372
1.446 6.716 6.452
4.338 2.239 1.787
1.446 2.239 5.986
4.338 6.716 2.252
0.023 6.716 4.118
0.060 2.239 7.879
1.446 0.042 5.062
1.446 4.435 5.062
2.832 2.239 7.879
2.869 6.716 4.118
2.915 2.239 4.121
2.951 6.716 0.360
4.338 4.520 3.176
4.338 8.912 3.176
5.724 6.716 0.360
5.761 2.239 4.121
```



A relaxed structure of SbTe2PPd, computed with PBE.

Output
Energy relative to the elements, uncorrected ... 717 meV per atom
Space-group type ... No. 123
Energy above the lowest structure with this stoichiometry ... 0.004 eV/atom
D(E_F) ... 6.18 states/eV/f.u.
M_tot ... 0.00 μB per cell
ρ ... 6.02 Mg/m³
DFT total energy ... -3.485 eV/atom

Geometry as POSCAR:
```
SbTe2PPd
1.0
5.274 0.000 0.000
0.000 5.274 0.000
0.000 0.000 5.099
Sb Te P Pd
1 2 1 1
Cartesian
0.000 0.000 0.000
0.000 2.637 2.550
2.637 0.000 2.550
2.637 2.637 0.000
0.000 0.000 2.550
```



A relaxed structure of SbTe2PPd, computed with PBE.

Output
Energy relative to the elements, uncorrected ... 713 meV per atom
Space-group type ... No. 123
Energy above the lowest structure with this stoichiometry ... 0.000 eV/atom
D(E_F) ... 4.74 states/eV/f.u.
M_tot ... 0.00 μB per cell
ρ ... 6.17 Mg/m³
DFT total energy ... -3.489 eV/atom

Geometry as POSCAR:
```
SbTe2PPd
1.0
5.262 0.000 0.000
0.000 5.262 0.000
0.000 0.000 4.998
Sb Te P Pd
1 2 1 1
Cartesian
0.000 0.000 0.000
0.000 2.631 2.499
2.631 0.000 2.499
0.000 0.000 2.499
2.631 2.631 0.000
```



A relaxed structure of TmSb2P2Pd7, computed with PBE.

Output
Energy relative to the elements, uncorrected ... -561 meV per atom
Space-group type ... No. 139
D(E_F) ... 4.45 states/eV/f.u.
M_tot ... 0.00 μB per cell
ρ ... 8.75 Mg/m³
DFT total energy ... -5.552 eV/atom

Geometry as POSCAR:
```
TmSb2P2Pd7
1.0
-1.976 1.976 14.823
1.976 -1.976 14.823
1.976 1.976 -14.823
Tm Sb P Pd
1 2 2 7
Cartesian
0.000 0.000 0.000
0.000 0.000 6.301
0.000 0.000 23.346
0.000 0.000 11.339
0.000 0.000 18.307
1.976 0.000 2.188
0.000 0.000 9.016
1.976 0.000 12.635
0.000 0.000 14.823
0.000 1.976 2.188
0.000 0.000 20.630
0.000 1.976 12.635
```



A relaxed structure of YSb2P2Pd7, computed with PBE.

Output
Energy relative to the elements, uncorrected ... -520 meV per atom
Space-group type ... No. 12
D(E_F) ... 5.99 states/eV/f.u.
M_tot ... 0.00 μB per cell
ρ ... 8.29 Mg/m³
DFT total energy ... -5.677 eV/atom

Geometry as POSCAR:
```
YSb2P2Pd7
1.0
2.915 -3.461 0.000
2.915 3.461 0.000
-0.533 0.000 11.315
Y Sb P Pd
1 2 2 7
Cartesian
0.000 0.000 0.000
0.667 0.000 4.351
4.629 0.000 6.964
1.377 0.000 9.215
3.919 0.000 2.100
2.018 1.406 2.444
1.712 0.000 6.817
3.278 1.406 8.871
2.915 0.000 0.000
2.018 -1.406 2.444
3.584 0.000 4.498
3.278 -1.406 8.871
```



A relaxed structure of Sc3P4Pd4, computed with PBE.

Output
ΔH_f (0 K) ... -1.007 eV/atom
Space-group type ... No. 71
D(E_F) ... 2.57 states/eV/f.u.
M_tot ... 0.00 μB per cell
ρ ... 6.49 Mg/m³
DFT total energy ... -6.589 eV/atom

Geometry as POSCAR:
```
Sc3P4Pd4
1.0
-1.956 3.441 6.507
1.956 -3.441 6.507
1.956 3.441 -6.507
Sc P Pd
3 4 4
Cartesian
0.000 0.000 0.000
1.956 0.000 4.892
0.000 3.441 1.615
0.000 0.000 2.831
1.956 2.215 0.000
0.000 1.225 6.507
0.000 0.000 10.183
1.956 1.387 -2.197
1.956 1.387 2.197
0.000 2.054 4.311
0.000 2.054 8.704
```



A relaxed structure of ScP3Pd, computed with PBE.

Output
ΔH_f (0 K) ... 0.298 eV/atom
Space-group type ... No. 221
Energy above the lowest structure with this stoichiometry ... 0.000 eV/atom
D(E_F) ... 4.19 states/eV/f.u.
M_tot ... 0.00 μB per cell
ρ ... 4.00 Mg/m³
DFT total energy ... -5.253 eV/atom

Geometry as POSCAR:
```
ScP3Pd
1.0
4.663 0.000 0.000
0.000 4.663 0.000
0.000 0.000 4.663
Sc P Pd
1 3 1
Cartesian
0.000 0.000 0.000
0.000 2.332 2.332
2.332 0.000 2.332
2.332 2.332 0.000
2.332 2.332 2.332
```



> The lowest D(E_F) belongs to which entry?

SbPPd